1.
Computed, not measured: a geometry-optimized SiTcP2 structure at the GGA-PBE level of DFT.

```
SiTcP2
1.0
-1.3554 -1.4322 2.2512
2.9692 0.3199 0.1950
-0.9094 6.3230 3.4752
P Si Tc
2 1 1
Cartesian
-0.0029 0.0203 0.0112 P
-0.4518 3.1412 1.7264 P
0.5796 1.0245 2.0919 Si
0.1249 4.1860 3.8295 Tc
```

Summary:
- Crystal system: orthorhombic
- Raw formation energy: 0.338 eV per atom
- Density of states at the Fermi level: 0.906 states/eV/atom
- Total moment: 0.0 μB per formula unit



2.
Computed, not measured: a geometry-optimized SiTcP2 structure at the GGA-PBE level of DFT.

```
SiTcP2
1.0
-2.1696 -2.6330 -3.1444
-1.6858 -4.2721 -0.6589
-4.3267 0.8284 1.3885
P Si Tc
2 1 1
Cartesian
-3.6355 -6.5068 -3.5834 P
-6.0674 -4.5528 -1.8214 P
-3.9861 -3.3542 -1.4361 Si
-2.4396 -1.6065 -0.5846 Tc
```

Summary:
- Crystal system: monoclinic
- Raw formation energy: 0.050 eV per atom
- Density of states at the Fermi level: 0.346 states/eV/atom
- Total moment: 0.0 μB per formula unit



3.
Computed, not measured: a geometry-optimized SiTcP structure at the GGA-PBE level of DFT.

```
SiTcP
1.0
3.9730 0.0000 0.0000
1.9865 3.4407 0.0000
1.9865 1.1469 3.2439
P Si Tc
1 1 1
Cartesian
5.9595 3.4407 2.4329 P
0.0000 0.0000 0.0000 Si
3.9730 2.2938 1.6220 Tc
```

Summary:
- Crystal system: cubic
- Raw formation energy: 0.305 eV per atom
- Distance to the lowest polymorph of the same formula: 584 meV/atom
- Density of states at the Fermi level: 0.971 states/eV/atom
- Total moment: 0.0 μB per formula unit



4.
Computed, not measured: a geometry-optimized SiTcP2 structure at the GGA-PBE level of DFT.

```
SiTcP2
1.0
7.0731 0.0130 0.0078
6.3917 3.0291 0.0078
6.3917 1.4441 2.6628
P Si Tc
2 1 1
Cartesian
19.8296 4.4802 2.6747 P
14.9198 3.3709 2.0124 P
9.8555 2.2267 1.3293 Si
5.0365 1.1379 0.6793 Tc
```

Summary:
- Crystal system: trigonal
- Raw formation energy: -0.004 eV per atom
- Density of states at the Fermi level: 0.726 states/eV/atom
- Total moment: 0.0 μB per formula unit